Tb3Pm12Ho | PBE-GGA | optimized geometry Values from VASP.

The structure in Quantum ESPRESSO input format:
```
&SYSTEM
  ibrav = 0, nat = 16, ntyp = 3
/
ATOMIC_SPECIES
Pm 145.00 Pm.upf
Tb 158.93 Tb.upf
Ho 164.93 Ho.upf
ATOMIC_POSITIONS angstrom
Pm 0.0000 2.5639 7.6743
Pm 2.5639 0.0000 2.5498
Pm 2.5639 2.5639 0.0000
Pm 2.5639 2.5639 15.3640
Pm 0.0000 2.5639 12.7993
Pm 0.0000 2.5639 2.5498
Pm 2.5639 2.5639 10.2368
Pm 2.5639 0.0000 17.9238
Pm 0.0000 2.5639 17.9238
Pm 2.5639 0.0000 12.7993
Pm 2.5639 0.0000 7.6743
Pm 2.5639 2.5639 5.1096
Tb 0.0000 0.0000 5.1107
Tb 0.0000 0.0000 15.3629
Tb 0.0000 0.0000 10.2368
Ho 0.0000 0.0000 0.0000
CELL_PARAMETERS angstrom
5.1277 0.0000 0.0000
0.0000 5.1277 0.0000
0.0000 0.0000 20.4736
```

Values from the calculation:
energy of formation from the pure elements	14	meV/atom
space group	No. 123
electronic total energy	-4.7028	eV/atom

PmErAg2 | PBE-GGA | optimized geometry Values from VASP.

The structure in Quantum ESPRESSO input format:
```
&SYSTEM
  ibrav = 0, nat = 4, ntyp = 3
/
ATOMIC_SPECIES
Pm 145.00 Pm.upf
Ag 107.87 Ag.upf
Er 167.26 Er.upf
ATOMIC_POSITIONS angstrom
Pm 5.1943 2.9989 2.1205
Ag 2.5971 1.4995 1.0603
Ag 7.7914 4.4984 3.1808
Er 0.0000 0.0000 0.0000
CELL_PARAMETERS angstrom
5.1943 0.0000 0.0000
2.5971 4.4984 0.0000
2.5971 1.4995 4.2411
```

Values from the calculation:
energy of formation from the pure elements	-291	meV/atom
space group	No. 225
relative energy among the computed polymorphs	14	meV/atom
electronic total energy	-4.0454	eV/atom

Fe5Ge | PBE-GGA | optimized geometry Values from VASP.

The structure in Quantum ESPRESSO input format:
```
&SYSTEM
  ibrav = 0, nat = 6, ntyp = 2
/
ATOMIC_SPECIES
Fe 55.84 Fe.upf
Ge 72.64 Ge.upf
ATOMIC_POSITIONS angstrom
Fe 1.6933 -0.1022 1.4378
Fe 1.8420 -2.0032 3.5454
Fe -0.9244 -1.6129 4.0295
Fe 0.0688 -1.9141 1.8120
Fe 0.7019 0.1989 3.6561
Ge 0.8323 -1.6970 5.7989
CELL_PARAMETERS angstrom
-0.5100 -4.0067 0.3159
3.4228 1.7155 1.3067
-2.0153 0.6120 4.5088
```

Values from the calculation:
energy of formation from the pure elements	-78	meV/atom
space group	No. 12
relative energy among the computed polymorphs	0	meV/atom
electronic total energy	-7.8995	eV/atom

MgScPt2 | PBE-GGA | optimized geometry Values from VASP.

The structure in Quantum ESPRESSO input format:
```
&SYSTEM
  ibrav = 0, nat = 4, ntyp = 3
/
ATOMIC_SPECIES
Sc 44.96 Sc.upf
Pt 195.08 Pt.upf
Mg 24.30 Mg.upf
ATOMIC_POSITIONS angstrom
Sc -7.2783 0.3303 12.1739
Pt -3.5782 0.1624 5.9849
Pt -0.0232 0.0011 0.0388
Mg -10.6413 0.4829 17.7988
CELL_PARAMETERS angstrom
-4.4098 1.8897 8.1766
-6.2082 -0.2635 7.1598
-3.7294 -0.9751 8.6611
```

Values from the calculation:
energy of formation from the pure elements	-369	meV/atom
space group	No. 160
electronic total energy	-5.3707	eV/atom

Repeat the fourth record exactly.
MgScPt2 | PBE-GGA | optimized geometry Values from VASP.

The structure in Quantum ESPRESSO input format:
```
&SYSTEM
  ibrav = 0, nat = 4, ntyp = 3
/
ATOMIC_SPECIES
Sc 44.96 Sc.upf
Pt 195.08 Pt.upf
Mg 24.30 Mg.upf
ATOMIC_POSITIONS angstrom
Sc -7.2783 0.3303 12.1739
Pt -3.5782 0.1624 5.9849
Pt -0.0232 0.0011 0.0388
Mg -10.6413 0.4829 17.7988
CELL_PARAMETERS angstrom
-4.4098 1.8897 8.1766
-6.2082 -0.2635 7.1598
-3.7294 -0.9751 8.6611
```

Values from the calculation:
energy of formation from the pure elements	-369	meV/atom
space group	No. 160
electronic total energy	-5.3707	eV/atom

Number 3 is which compound? Fe5Ge

Which value of electronic total energy does entry 3 give? -7.8995 eV/atom